Computed, not measured: crystalline LiMoIO2 at its relaxed geometry at the PBE+U level of DFT.

Output
Magnetic moment ... 2.00 μB/f.u.
VASP energy ... -3.8745 eV/atom

Cell and atoms, written as extended XYZ:
```
5
Lattice="4.1109 0.0000 0.0000 0.0000 4.1109 0.0000 0.0000 0.0000 5.0881" Properties=species:S:1:pos:R:3 pbc="T T T"
Mo 2.0554 2.0554 2.5441
O 0.0000 2.0554 0.0000
O 2.0554 0.0000 0.0000
Li 0.0000 0.0000 0.0000
I 0.0000 0.0000 2.5441
```